Record 1
Here is Na2V2Re after structural relaxation from Alexandria. Energies are from GGA-PBE.

The structure in POSCAR format:
```
Na2V2Re
1.0
7.989 0.000 0.000
0.000 7.989 0.000
0.000 0.000 2.639
Na V Re
4 4 2
direct
0.105 0.395 0.000
0.395 0.895 0.000
0.605 0.105 0.000
0.895 0.605 0.000
0.200 0.700 0.500
0.300 0.200 0.500
0.700 0.800 0.500
0.800 0.300 0.500
0.000 0.000 0.000
0.500 0.500 0.000
```

Summary:
Fermi-level density of states: 1.06 states/eV/atom
Crystal system: tetragonal

=====

Record 2
Here is NaVRe2 after structural relaxation from Alexandria. Energies are from GGA-PBE.

The structure in POSCAR format:
```
NaVRe2
1.0
6.198 0.000 0.000
0.000 6.198 0.000
0.000 0.000 6.198
Na V Re
4 4 8
direct
0.000 0.000 0.000
0.000 0.500 0.500
0.500 0.000 0.500
0.500 0.500 0.000
0.000 0.000 0.500
0.000 0.500 0.000
0.500 0.000 0.000
0.500 0.500 0.500
0.250 0.250 0.250
0.250 0.250 0.750
0.250 0.750 0.250
0.250 0.750 0.750
0.750 0.250 0.250
0.750 0.250 0.750
0.750 0.750 0.250
0.750 0.750 0.750
```

Summary:
Fermi-level density of states: 0.53 states/eV/atom
Crystal system: cubic

=====

Record 3
Here is Na2VRe after structural relaxation from Alexandria. Energies are from GGA-PBE.

The structure in POSCAR format:
```
Na2VRe
1.0
6.825 0.000 0.000
0.000 6.825 0.000
0.000 0.000 6.825
Na V Re
8 4 4
direct
0.250 0.250 0.250
0.250 0.250 0.750
0.250 0.750 0.250
0.250 0.750 0.750
0.750 0.250 0.250
0.750 0.250 0.750
0.750 0.750 0.250
0.750 0.750 0.750
0.000 0.000 0.000
0.000 0.500 0.500
0.500 0.000 0.500
0.500 0.500 0.000
0.000 0.000 0.500
0.000 0.500 0.000
0.500 0.000 0.000
0.500 0.500 0.500
```

Summary:
Fermi-level density of states: 0.66 states/eV/atom
Crystal system: cubic

=====

Computed values of formation energy from the elements (unit: eV/atom) for the preceding records, in sequence: 1.487 0.897 1.624.
Computed values of uncorrected energy (unit: eV/atom) for the preceding records, in sequence: -5.1779 -7.9361 -4.4271.